Record 1
Computed, not measured: a relaxed LiThGa2Pt4 crystal at the GGA-PBE level of DFT.

The structure belongs to space group R-3m (No. 166, hexagonal axes); the cell edges are 4.2880, 4.2880 and 25.9359 Å and the angles 90.00°, 90.00° and 120.00°. The inequivalent atoms are Li at (0.0000, 0.0000, 0.0000), Th at (0.0000, 0.0000, 0.5000), Ga at (0.0000, 0.0000, 0.2646), Pt at (0.0000, 0.0000, 0.0987) and Pt at (0.0000, 0.0000, 0.3669).

Its spin magnetization is 0.00 μB/atom. The calculation puts the formation energy at -0.91 eV/atom.

***

Record 2
Computed, not measured: a relaxed LiTlGa2Pt crystal at the GGA-PBE level of DFT.

The structure belongs to space group P4/mmm (No. 123); the cell edges are 4.8200, 4.8200 and 5.0067 Å and the angles 90.00°, 90.00° and 90.00°. The inequivalent atoms are Li at (0.0000, 0.0000, 0.0000), Tl at (0.5000, 0.5000, 0.0000), Ga at (0.0000, 0.5000, 0.5000) and Pt at (0.0000, 0.0000, 0.5000).

Its spin magnetization is 0.00 μB/atom. The calculation puts the formation energy at -0.31 eV/atom.

***

Record 3
Computed, not measured: a relaxed LiTm2Ga4Pt3 crystal at the GGA-PBE level of DFT.

The structure belongs to space group P-4m2 (No. 115); the cell edges are 3.9858, 3.9858 and 11.4965 Å and the angles 90.00°, 90.00° and 90.00°. The inequivalent atoms are Li at (0.0000, 0.0000, 0.0000), Tm at (0.0000, 0.5000, 0.7474), Ga at (0.0000, 0.0000, 0.5000), Ga at (0.0000, 0.5000, 0.1360), Ga at (0.5000, 0.5000, 0.5000), Pt at (0.0000, 0.5000, 0.3535) and Pt at (0.5000, 0.5000, 0.0000).

Its spin magnetization is 0.00 μB/atom. The calculation puts the formation energy at -0.84 eV/atom.

***

Record 4
Computed, not measured: a relaxed LiTmGa2Pt4 crystal at the GGA-PBE level of DFT.

The structure belongs to space group R-3m (No. 166, hexagonal axes); the cell edges are 4.3143, 4.3143 and 24.3302 Å and the angles 90.00°, 90.00° and 120.00°. The inequivalent atoms are Li at (0.0000, 0.0000, 0.0000), Tm at (0.0000, 0.0000, 0.5000), Ga at (0.0000, 0.0000, 0.2586), Pt at (0.0000, 0.0000, 0.1010) and Pt at (0.0000, 0.0000, 0.3692).

Its spin magnetization is 0.00 μB/atom. The calculation puts the formation energy at -0.86 eV/atom.

***

Record 5
Computed, not measured: a relaxed LiUGa5Pt2 crystal at the GGA-PBE level of DFT.

The structure belongs to space group P4/mmm (No. 123); the cell edges are 3.9135, 3.9135 and 10.5439 Å and the angles 90.00°, 90.00° and 90.00°. The inequivalent atoms are Li at (0.0000, 0.0000, 0.0000), U at (0.0000, 0.0000, 0.5000), Ga at (0.0000, 0.5000, 0.2050), Ga at (0.5000, 0.5000, 0.0000) and Pt at (0.5000, 0.5000, 0.3746).

Its spin magnetization is 0.26 μB/atom. The calculation puts the formation energy at -0.38 eV/atom.

***

Record 6
Computed, not measured: a relaxed LiUGaPt crystal at the GGA-PBE level of DFT.

The structure belongs to space group F-43m (No. 216); the cell edges are 6.6005, 6.6005 and 6.6005 Å and the angles 90.00°, 90.00° and 90.00°. The inequivalent atoms are Li at (0.0000, 0.0000, 0.0000), U at (0.2500, 0.2500, 0.7500), Ga at (0.2500, 0.2500, 0.2500) and Pt at (0.0000, 0.0000, 0.5000).

Its spin magnetization is 0.50 μB/atom. The calculation puts the formation energy at -0.35 eV/atom.

***

Record 7
Computed, not measured: a relaxed LiY2Ga4Pt3 crystal at the GGA-PBE level of DFT.

The structure belongs to space group P-4m2 (No. 115); the cell edges are 4.1134, 4.1134 and 11.0405 Å and the angles 90.00°, 90.00° and 90.00°. The inequivalent atoms are Li at (0.0000, 0.0000, 0.0000), Y at (0.0000, 0.5000, 0.7444), Ga at (0.0000, 0.0000, 0.5000), Ga at (0.0000, 0.5000, 0.1329), Ga at (0.5000, 0.5000, 0.5000), Pt at (0.0000, 0.5000, 0.3591) and Pt at (0.5000, 0.5000, 0.0000).

Its spin magnetization is 0.00 μB/atom. The calculation puts the formation energy at -0.87 eV/atom.

***

Record 8
Computed, not measured: a relaxed LiYGaPt3 crystal at the GGA-PBE level of DFT.

The structure belongs to space group Cmcm (No. 63); the cell edges are 5.6696, 12.9535 and 5.7266 Å and the angles 90.00°, 90.00° and 90.00°. The inequivalent atoms are Li at (0.0000, 0.1223, 0.2500), Y at (0.0000, 0.3350, 0.2500), Ga at (0.0000, 0.3794, 0.7500), Pt at (0.0000, 0.1876, 0.7500) and Pt at (0.2385, 0.0000, 0.0000).

Its spin magnetization is 0.00 μB/atom. The calculation puts the formation energy at -0.73 eV/atom.

***

Record 9
Computed, not measured: a relaxed LiYGaPt2 crystal at the GGA-PBE level of DFT.

The structure belongs to space group I-4m2 (No. 119); the cell edges are 3.7929, 3.7929 and 12.6421 Å and the angles 90.00°, 90.00° and 90.00°. The inequivalent atoms are Li at (0.0000, 0.0000, 0.0000), Y at (0.0000, 0.5000, 0.7500), Ga at (0.0000, 0.0000, 0.5000) and Pt at (0.0000, 0.5000, 0.1407).

Its spin magnetization is 0.00 μB/atom. The calculation puts the formation energy at -0.94 eV/atom.

***

Record 10
Computed, not measured: a relaxed LiY2Ga3Pt4 crystal at the GGA-PBE level of DFT.

The structure belongs to space group P-4m2 (No. 115); the cell edges are 4.0195, 4.0195 and 11.4638 Å and the angles 90.00°, 90.00° and 90.00°. The inequivalent atoms are Li at (0.0000, 0.0000, 0.0000), Y at (0.0000, 0.5000, 0.7529), Ga at (0.0000, 0.5000, 0.3664), Ga at (0.5000, 0.5000, 0.0000), Pt at (0.0000, 0.0000, 0.5000), Pt at (0.0000, 0.5000, 0.1488) and Pt at (0.5000, 0.5000, 0.5000).

Its spin magnetization is 0.00 μB/atom. The calculation puts the formation energy at -0.94 eV/atom.

***

Record 11
Computed, not measured: a relaxed LiPuGa4 crystal at the GGA-PBE level of DFT.

The structure belongs to space group P2/m (No. 10); the cell edges are 4.3515, 4.3886 and 6.4075 Å and the angles 90.00°, 102.80° and 90.00°. The inequivalent atoms are Li at (0.0000, 0.0000, 0.0000), Pu at (0.0000, 0.5000, 0.5000), Ga at (0.3019, 0.5000, 0.1141) and Ga at (0.4862, 0.0000, 0.6930).

Its spin magnetization is 0.89 μB/atom. The calculation puts the formation energy at -0.19 eV/atom.

***

Record 12
Computed, not measured: a relaxed LiPu2Ga4 crystal at the GGA-PBE level of DFT.

The structure belongs to space group P2/m (No. 10); the cell edges are 4.9066, 4.2140 and 7.1174 Å and the angles 90.00°, 98.16° and 90.00°. The inequivalent atoms are Li at (0.0000, 0.0000, 0.0000), Pu at (0.2513, 0.5000, 0.3570), Ga at (0.2444, 0.0000, 0.6679) and Ga at (0.2734, 0.5000, 0.8957).

Its spin magnetization is 1.64 μB/atom. The calculation puts the formation energy at -0.21 eV/atom.